Material: Pr6TlIn2
Method: DFT, PBE
State: optimized geometry

```
Pr6TlIn2
1.0
-2.184 2.289 -5.080
-6.281 -7.079 -0.490
-7.118 6.001 4.542
Pr In Tl
12 4 2
Cartesian
-9.597 -3.686 -4.371
-5.239 0.268 1.464
-12.985 3.091 -1.017
-9.338 -2.185 -0.826
-2.598 -1.879 -0.012
-8.793 5.649 1.281
-6.790 -4.438 -2.309
-5.986 4.897 3.343
-9.104 1.506 0.671
-10.344 0.944 -2.492
-6.245 3.397 -0.202
-6.479 -0.294 -1.699
-11.950 -0.233 0.154
-9.582 4.127 -1.553
-6.001 -2.915 0.524
-3.633 1.444 -1.182
-4.232 -2.395 -2.785
-3.559 3.001 2.271
```

Calculated values
ΔE_f in kJ per mole of atoms: -21.52
Offset from the most stable computed form in meV/atom: 64
M_tot in μB/cell: 0.00